--- i ---
Crystalline SrNd2Mg at its relaxed geometry, computed with PBE.

Cell: 3.950 3.950 9.357 Å, 90.00 90.00 90.00°
Space group P4/mmm (No. 123)
Symmetry-distinct sites (fractional):
Sr 0.000 0.000 0.000 (multiplicity 1)
Nd 0.500 0.500 0.306 (multiplicity 2)
Mg 0.000 0.000 0.500 (multiplicity 1)

Total moment (μB per cell): 0.00



--- ii ---
Crystalline SrNd2Mg at its relaxed geometry, computed with PBE.

Cell: 8.241 8.241 8.241 Å, 90.00 90.00 90.00°
Space group Fm-3m (No. 225)
Symmetry-distinct sites (fractional):
Sr 0.000 0.000 0.000 (multiplicity 4)
Nd 0.250 0.250 0.250 (multiplicity 8)
Mg 0.000 0.000 0.500 (multiplicity 4)

Total moment (μB per cell): 0.00



--- iii ---
Crystalline SrNd2Mg at its relaxed geometry, computed with PBE.

Cell: 3.6523 3.6523 38.2807 Å, 90.00 90.00 120.00°
Space group R-3m (No. 166, hexagonal axes)
Symmetry-distinct sites (fractional):
Sr 0.0000 0.0000 0.0000 (multiplicity 3)
Nd 0.0000 0.0000 0.0969 (multiplicity 6)
Mg 0.0000 0.0000 0.5000 (multiplicity 3)

Total moment (μB per cell): 0.00



--- iv ---
Crystalline SrNd2Mg at its relaxed geometry, computed with PBE.

Cell: 5.141 5.141 5.342 Å, 90.00 90.00 90.00°
Space group P4/mmm (No. 123)
Symmetry-distinct sites (fractional):
Sr 0.000 0.000 0.000 (multiplicity 1)
Nd 0.000 0.500 0.500 (multiplicity 2)
Mg 0.500 0.500 0.000 (multiplicity 1)

Total moment (μB per cell): 0.00



Stability check: which of them is most stable? i.